Below is KBIN2 after structural relaxation, with properties calculated at the PBE level.

abc: 5.103 5.103 6.955
angles: 90.00 90.00 90.00
Element x y z (fractional)
I 0.000 0.000 0.500
K 0.000 0.000 0.000
N 0.000 0.500 0.000
B 0.500 0.500 0.500
N 0.500 0.000 0.000

Values from the calculation:
The total energy is -2.58 eV/atom. As for the offset from the most stable computed form: 962 meV/atom. As for the space group: P4/mmm (123). As for the formation energy from raw total energies: 13.1 eV per formula unit. The density of states at the Fermi level comes out at 3.64 states/eV/cell.

***

Below is CaPtW2 after structural relaxation, with properties calculated at the PBE level.

abc: 10.140 10.140 10.140
angles: 16.32 16.32 16.32
Element x y z (fractional)
Pt 0.750 0.750 0.750
W 0.008 0.008 0.008
Ca 0.250 0.250 0.250
W 0.492 0.492 0.492

Values from the calculation:
The total energy is -7.92 eV/atom. As for the offset from the most stable computed form: 402 meV/atom. As for the space group: R-3m (166). The density of states at the Fermi level comes out at 4.65 states/eV/cell. The calculation puts the formation energy from the elements at 572 meV/atom.

***

Below is YTm2Cd6 after structural relaxation, with properties calculated at the PBE level.

abc: 3.407 8.582 8.582
angles: 120.00 90.00 90.00
Element x y z (fractional)
Cd 0.500 0.666 0.666
Cd 0.500 0.334 0.000
Cd 0.500 0.334 0.334
Cd 0.500 0.666 0.000
Tm 0.000 0.667 0.333
Cd 0.500 0.000 0.334
Tm 0.000 0.333 0.667
Y 0.000 0.000 0.000
Cd 0.500 0.000 0.666

Values from the calculation:
The total energy is -2.63 eV/atom. As for the space group: P6/mmm (191). The density of states at the Fermi level comes out at 6.44 states/eV/cell. The calculation puts the formation energy from the elements at -305 meV/atom.

***

Below is KBaP2 after structural relaxation, with properties calculated at the PBE level.

abc: 4.083 4.821 11.994
angles: 37.15 90.00 90.00
Element x y z (fractional)
Ba 0.500 0.250 0.250
K 0.500 0.750 0.750
P 0.000 0.043 0.102
P 0.000 0.457 0.398

Values from the calculation:
The total energy is -4.10 eV/atom. As for the offset from the most stable computed form: 0 meV/atom. As for the space group: P2/m (10). The density of states at the Fermi level comes out at 1.18 states/eV/cell. The calculation puts the formation energy from the elements at -644 meV/atom.

***

Below is YZnFeGe2 after structural relaxation, with properties calculated at the PBE level.

abc: 5.735 5.449 5.582
angles: 90.00 90.00 90.00
Element x y z (fractional)
Y 0.227 0.250 0.500
Ge 0.254 0.750 0.262
Zn 0.626 0.750 0.000
Zn 0.374 0.250 0.000
Fe 0.000 0.000 0.000
Ge 0.746 0.250 0.262
Y 0.773 0.750 0.500
Fe 0.000 0.500 0.000
Ge 0.746 0.250 0.738
Ge 0.254 0.750 0.738

Values from the calculation:
The total energy is -5.46 eV/atom. As for the space group: Pmma (51). The density of states at the Fermi level comes out at 6.05 states/eV/cell. The calculation puts the formation energy from the elements at -370 meV/atom.

***

Below is TaAs2SeI after structural relaxation, with properties calculated at the PBE level.

abc: 5.149 5.149 4.913
angles: 90.00 90.00 90.00
Element x y z (fractional)
As 0.500 0.000 0.000
I 0.500 0.500 0.500
Ta 0.000 0.000 0.000
Se 0.000 0.000 0.500
As 0.000 0.500 0.000

Values from the calculation:
The total energy is -5.07 eV/atom. As for the offset from the most stable computed form: 0 meV/atom. As for the space group: P4/mmm (123). As for the formation energy from raw total energies: 0.8 eV per formula unit. The density of states at the Fermi level comes out at 3.22 states/eV/cell.

***

Below is PaSiF after structural relaxation, with properties calculated at the PBE level.

abc: 3.808 3.896 7.156
angles: 90.00 105.43 90.00
Element x y z (fractional)
Pa 0.124 0.250 0.747
F 0.751 0.250 0.001
Pa 0.876 0.750 0.253
F 0.249 0.750 0.999
Si 0.547 0.750 0.595
Si 0.453 0.250 0.405

Values from the calculation:
The total energy is -7.37 eV/atom. As for the space group: Cmcm (63). As for the formation energy from raw total energies: -5.3 eV per formula unit. The density of states at the Fermi level comes out at 7.80 states/eV/cell.

***

Below is HfZrCd after structural relaxation, with properties calculated at the PBE level.

abc: 3.087 3.087 7.331
angles: 102.15 102.15 90.00
Element x y z (fractional)
Hf 0.337 0.337 0.675
Cd 0.668 0.668 0.335
Zr 0.995 0.995 0.990

Values from the calculation:
The total energy is -6.57 eV/atom. As for the offset from the most stable computed form: 0 meV/atom. As for the space group: I4mm (107). The density of states at the Fermi level comes out at 2.17 states/eV/cell. The calculation puts the formation energy from the elements at -96 meV/atom.

***

Below is MgAg6Hg2 after structural relaxation, with properties calculated at the PBE level.

abc: 7.576 7.357 7.576
angles: 83.20 58.76 83.20
Element x y z (fractional)
Ag 0.549 0.177 0.660
Ag 0.660 0.677 0.549
Ag 0.340 0.323 0.451
Hg 0.850 0.363 0.692
Ag 0.704 0.122 0.142
Mg 0.901 0.750 0.099
Ag 0.451 0.823 0.340
Ag 0.296 0.878 0.858
Ag 0.913 0.986 0.364
Hg 0.308 0.137 0.150
Ag 0.858 0.378 0.296
Mg 0.099 0.250 0.901
Ag 0.142 0.622 0.704
Hg 0.692 0.863 0.850
Hg 0.150 0.637 0.308
Ag 0.364 0.486 0.913
Ag 0.087 0.014 0.636
Ag 0.636 0.514 0.087

Values from the calculation:
The total energy is -2.10 eV/atom. As for the offset from the most stable computed form: 19 meV/atom. As for the space group: C2/c (15). The density of states at the Fermi level comes out at 6.29 states/eV/cell. The calculation puts the formation energy from the elements at 42 meV/atom.

***

Below is Ho2ThPaC4 after structural relaxation, with properties calculated at the PBE level.

abc: 3.663 6.229 6.315
angles: 70.56 90.00 90.00
Element x y z (fractional)
C 0.500 0.740 0.239
C 0.500 0.260 0.761
C 0.000 0.266 0.235
Pa 0.500 0.500 0.000
Ho 0.000 0.000 0.000
C 0.000 0.734 0.765
Th 0.000 0.500 0.500
Ho 0.500 0.000 0.500

Values from the calculation:
The total energy is -8.14 eV/atom. As for the space group: P2/m (10). The density of states at the Fermi level comes out at 8.97 states/eV/cell. The calculation puts the formation energy from the elements at -270 meV/atom.

***

Below is Ba2MgRhAu after structural relaxation, with properties calculated at the PBE level.

abc: 5.943 5.943 4.986
angles: 90.00 90.00 90.00
Element x y z (fractional)
Rh 0.000 0.000 0.000
Ba 0.000 0.500 0.000
Mg 0.000 0.000 0.500
Ba 0.500 0.000 0.000
Au 0.500 0.500 0.500

Values from the calculation:
The total energy is -3.49 eV/atom. As for the space group: P4/mmm (123). The density of states at the Fermi level comes out at 2.32 states/eV/cell. The calculation puts the formation energy from the elements at -274 meV/atom.

***

Below is TbMgCuRh after structural relaxation, with properties calculated at the PBE level.

abc: 4.708 4.708 4.708
angles: 60.00 60.00 60.00
Element x y z (fractional)
Cu 0.500 0.500 0.500
Rh 0.000 0.000 0.000
Mg 0.250 0.250 0.250
Tb 0.750 0.750 0.750

Values from the calculation:
The total energy is -4.84 eV/atom. As for the space group: F-43m (216). The density of states at the Fermi level comes out at 2.94 states/eV/cell. The calculation puts the formation energy from the elements at -423 meV/atom.

***

- Which value of total energy does entry 3 give?
  -2.63 eV/atom

***

- What is the total energy in the twelfth record?
  -4.84 eV/atom

***

- Which formula does entry 11 have?
  Ba2MgRhAu